This record from Alexandria describes an optimized crystal structure of KMo4W. The functional is PBE.

Properties
DFT total energy: -203.4 eV per cell
energy of formation: 1.09 eV per atom

a b c (Å): 7.5844 7.5844 7.5844
angles (deg): 90.00 90.00 90.00
Closest atoms and distances in Å follow each position.
Space group F-43m (No. 216)
Unique sites:
K: 0.0000 0.0000 0.0000 x4  12 Mo 3.14, 4 W 3.28
Mo: 0.1253 0.1253 0.6253 x16  6 Mo 2.67-2.69
W: 0.2500 0.2500 0.2500 x4  12 Mo 3.15, 4 K 3.28